TmAgHgAu | PBE-GGA | relaxed

Cell: 4.9116 4.9116 4.9116 Å, 60.00 60.00 60.00°
Element x y z (fractional)
Au 0.2500 0.2500 0.2500
Ag 0.0000 0.0000 0.0000
Hg 0.7500 0.7500 0.7500
Tm 0.5000 0.5000 0.5000

Values from the calculation:
**E above lowest polymorph**: 8 meV per atom
**Symmetry**: No. 216

BrCl3 | PBE-GGA | relaxed

Cell: 2.7052 2.7052 16.3004 Å, 90.00 90.00 89.98°
Element x y z (fractional)
Cl 0.5000 0.5000 0.7546
Cl 0.5000 0.5000 0.2454
Cl 0.0000 0.0000 0.5000
Br 0.0000 0.0000 0.0000

Values from the calculation:
**Symmetry**: No. 123
**E_form (uncorrected)**: 1.47 eV per formula unit

LaCrGe3 | PBE-GGA | relaxed

Cell: 6.2018 6.2018 5.7577 Å, 90.00 90.00 120.00°
Site moments in Bohr magnetons follow the coordinates.
Element x y z (fractional)
Ge 0.1914 0.3828 0.2500  -0.05
Ge 0.8086 0.1914 0.7500  -0.05
Ge 0.6172 0.8086 0.2500  -0.05
Ge 0.3828 0.1914 0.7500  -0.05
Ge 0.8086 0.6172 0.7500  -0.05
Ge 0.1914 0.8086 0.2500  -0.05
La 0.6667 0.3333 0.2500  -0.07
La 0.3333 0.6667 0.7500  -0.07
Cr 0.0000 0.0000 0.5000  1.53
Cr 0.0000 0.0000 0.0000  1.53

Values from the calculation:
**Symmetry**: No. 194
**VASP energy**: -6.146 eV per atom

CrCuAs | PBE-GGA | relaxed

Cell: 3.7170 3.7170 6.0650 Å, 90.00 90.00 90.00°
Site moments in Bohr magnetons follow the coordinates.
Element x y z (fractional)
Cr 0.5000 0.5000 0.5000  0.43
Cr 0.0000 0.0000 0.5000  0.43
Cu 0.5000 0.0000 0.1850  -0.02
Cu 0.0000 0.5000 0.8150  -0.02
As 0.0000 0.5000 0.2220  -0.03
As 0.5000 0.0000 0.7780  -0.03

Values from the calculation:
**Symmetry**: No. 129
**VASP energy**: -6.157 eV per atom

Sc2SnAs2 | PBE-GGA | relaxed

Cell: 5.1816 5.1816 5.6191 Å, 62.54 62.54 90.00°
Element x y z (fractional)
Sc 0.7500 0.2500 0.5000
Sc 0.2500 0.7500 0.5000
As 0.6552 0.6552 0.6895
As 0.3448 0.3448 0.3105
Sn 0.0000 0.0000 0.0000

Values from the calculation:
**E above lowest polymorph**: 98 meV per atom
**Symmetry**: No. 139

Tl2AsO | PBE-GGA | relaxed

Cell: 5.8711 5.8711 7.3330 Å, 66.40 66.40 90.00°
Element x y z (fractional)
Tl 0.3750 0.4285 0.7500
Tl 0.5715 0.1250 0.2500
Tl 0.1785 0.6250 0.2500
Tl 0.8750 0.8215 0.7500
As 0.7500 0.2500 0.5000
As 0.0000 0.0000 0.0000
O 0.2500 0.7500 0.5000
O 0.5000 0.5000 0.0000

Values from the calculation:
**E above lowest polymorph**: 0 meV per atom
**Symmetry**: No. 122
**E_form (uncorrected)**: -0.56 eV per formula unit

Cr4CdTe | PBE-GGA | relaxed

Cell: 5.0146 5.0146 5.0146 Å, 60.00 60.00 60.00°
Element x y z (fractional)
Cr 0.3723 0.3723 0.3723
Cr 0.3723 0.3723 0.8832
Cr 0.8832 0.3723 0.3723
Cr 0.3723 0.8832 0.3723
Te 0.7500 0.7500 0.7500
Cd 0.0000 0.0000 0.0000

Values from the calculation:
**Symmetry**: No. 216
**E_form (uncorrected)**: 3.62 eV per formula unit

CaGa2Co | PBE-GGA | relaxed

Cell: 3.0985 3.0985 7.1652 Å, 90.00 90.00 90.00°
Site moments in Bohr magnetons follow the coordinates.
Element x y z (fractional)
Ga 0.0000 0.0000 0.8126  -0.01
Ga 0.0000 0.0000 0.1874  -0.01
Ca 0.5000 0.5000 0.5000  0.00
Co 0.5000 0.5000 0.0000  0.84

Values from the calculation:
**Symmetry**: No. 123
**VASP energy**: -4.053 eV per atom